1.
This record from the Alexandria database describes Cs4CrS4 after structural relaxation. The functional is GGA-PBE.

Formation energy (no corrections) (eV per atom): -0.952
E above lowest polymorph (eV per atom): 0.0831

abc: 8.1784 8.1784 8.8597
angles: 117.49 117.49 90.00
With the nearest neighbours (Å) after each atom.
Positions (direct):
Cs 0.3003 0.3003 0.6006  2 S 3.28
Cs 0.0000 0.5000 0.0000  4 S 3.35
Cs 0.6997 0.6997 0.3994  2 S 3.28
Cs 0.5000 0.0000 0.0000  4 S 3.35
S 0.2517 0.9405 0.1922  1 Cr 2.21
S 0.7483 0.7483 0.8078  1 Cr 2.21
S 0.9405 0.2517 0.1922  1 Cr 2.21
S 0.0595 0.0595 0.8078  1 Cr 2.21
Cr 0.0000 0.0000 0.0000  4 S 2.21

2.
This record from the Alexandria database describes AlInAg2Te4 after structural relaxation. The functional is GGA-PBE.

Formation energy (no corrections) (eV per atom): -0.320

abc: 6.4910 6.4912 7.7938
angles: 114.62 114.62 89.99
With the nearest neighbours (Å) after each atom.
Positions (direct):
Te 0.0972 0.0917 0.7098  1 Al 2.66, 2 Ag 2.81-2.82, 1 In 2.85
Te 0.8536 0.3746 0.2337  1 Al 2.66, 2 Ag 2.81-2.82, 1 In 2.85
Te 0.6128 0.6184 0.7100  1 Al 2.66, 2 Ag 2.81-2.82, 1 In 2.85
Te 0.3800 0.8589 0.2335  1 Al 2.66, 2 Ag 2.81-2.82, 1 In 2.85
In 0.9856 0.4856 0.9717  4 Te 2.85
Al 0.7358 0.7359 0.4717  4 Te 2.66
Ag 0.2361 0.2359 0.4718  4 Te 2.82
Ag 0.4859 0.9861 0.9719  4 Te 2.81

3.
This record from the Alexandria database describes TaTiVTc after structural relaxation. The functional is GGA-PBE.

VASP energy (eV/atom): -10.041

abc: 4.4550 4.4550 4.4550
angles: 60.00 60.00 60.00
With the nearest neighbours (Å) after each atom.
Positions (direct):
Ta 0.2500 0.2500 0.2500  4 Tc 2.73, 4 V 2.73
V 0.0000 0.0000 0.0000  4 Ta 2.73, 4 Ti 2.73
Tc 0.5000 0.5000 0.5000  4 Ta 2.73, 4 Ti 2.73
Ti 0.7500 0.7500 0.7500  4 Tc 2.73, 4 V 2.73

4.
This record from the Alexandria database describes Tb8GaTe4As3 after structural relaxation. The functional is GGA-PBE.

Formation energy (no corrections) (eV per atom): -1.382

abc: 8.4730 8.6100 8.4731
angles: 119.48 120.00 90.00
With the nearest neighbours (Å) after each atom.
Positions (direct):
Tb 0.7436 0.7220 0.9828  1 Ga 2.89, 2 As 2.92, 3 Te 3.13-3.16
Tb 0.2564 0.2780 0.0172  1 Ga 2.89, 2 As 2.92, 3 Te 3.13-3.16
Tb 0.2392 0.7220 0.9828  1 Ga 2.89, 2 As 2.92, 3 Te 3.13-3.16
Tb 0.7608 0.2780 0.0172  1 Ga 2.89, 2 As 2.92, 3 Te 3.13-3.16
Tb 0.2392 0.7219 0.4783  1 Ga 2.89, 2 As 2.92, 3 Te 3.13-3.16
Tb 0.7398 0.7194 0.4796  3 As 2.90, 3 Te 3.15
Tb 0.2602 0.2806 0.5204  3 As 2.90, 3 Te 3.15
Tb 0.7608 0.2781 0.5217  1 Ga 2.89, 2 As 2.92, 3 Te 3.13-3.16
Te 0.5000 0.0000 0.5000  6 Tb 3.13-3.15
Te 0.0000 0.0000 0.5000  6 Tb 3.13-3.15
Te 0.0000 0.0000 0.0000  6 Tb 3.13-3.15
Te 0.5000 0.0000 0.0000  6 Tb 3.16
As 0.0000 0.5000 0.5000  6 Tb 2.90-2.92
As 0.5000 0.5000 0.5000  6 Tb 2.90-2.92
As 0.5000 0.5000 0.0000  6 Tb 2.90-2.92
Ga 0.0000 0.5000 0.0000  6 Tb 2.89